1.
First-principles (GGA-PBE) data for BaLiMgHg after structural relaxation, as listed in Alexandria via LeMat-Bulk.

abc: 8.626 4.984 6.489
angles: 90.00 116.39 90.00
Space group Cm (No. 8)
Inequivalent atoms, fractional coordinates:
1 Ba 0.000 0.000 0.000 [2 per cell]
2 Li 0.307 0.500 0.423 [2 per cell]
3 Mg 0.009 0.500 0.528 [2 per cell]
4 Hg 0.199 0.000 0.597 [2 per cell]

Output
**E_form**: -0.2610 eV/atom



2.
First-principles (GGA-PBE) data for Ba2LiHgN after structural relaxation, as listed in Alexandria via LeMat-Bulk.

abc: 5.765 5.765 4.177
angles: 90.00 90.00 90.00
Space group P4/mmm (No. 123)
Inequivalent atoms, fractional coordinates:
1 Ba 0.000 0.500 0.000 [2 per cell]
2 Li 0.000 0.000 0.500 [1 per cell]
3 Hg 0.500 0.500 0.500 [1 per cell]
4 N 0.000 0.000 0.000 [1 per cell]

Output
**Total energy**: -3.206 eV per atom



3.
First-principles (GGA-PBE) data for BaNaLi2Hg2 after structural relaxation, as listed in Alexandria via LeMat-Bulk.

abc: 5.0368 5.0368 7.5907
angles: 90.00 90.00 120.00
Space group P-3m1 (No. 164)
Inequivalent atoms, fractional coordinates:
1 Ba 0.0000 0.0000 0.0000 [1 per cell]
2 Na 0.0000 0.0000 0.5000 [1 per cell]
3 Li 0.3333 0.6667 0.6634 [2 per cell]
4 Hg 0.3333 0.6667 0.2900 [2 per cell]

Output
**E_form**: -0.3077 eV/atom



4.
First-principles (GGA-PBE) data for BaNaLiHg2 after structural relaxation, as listed in Alexandria via LeMat-Bulk.

abc: 5.343 5.343 5.172
angles: 90.00 90.00 90.00
Space group P4/mmm (No. 123)
Inequivalent atoms, fractional coordinates:
1 Ba 0.000 0.000 0.000 [1 per cell]
2 Na 0.500 0.500 0.000 [1 per cell]
3 Li 0.500 0.500 0.500 [1 per cell]
4 Hg 0.000 0.500 0.500 [2 per cell]

Output
**E_form**: -0.2446 eV/atom



5.
First-principles (GGA-PBE) data for BaNa2LiHg4 after structural relaxation, as listed in Alexandria via LeMat-Bulk.

abc: 5.2674 5.2674 27.9461
angles: 90.00 90.00 120.00
Space group R-3m (No. 166, hexagonal axes)
Inequivalent atoms, fractional coordinates:
1 Ba 0.0000 0.0000 0.0000 [3 per cell]
2 Na 0.0000 0.0000 0.2373 [6 per cell]
3 Li 0.0000 0.0000 0.5000 [3 per cell]
4 Hg 0.0000 0.0000 0.1270 [6 per cell]
5 Hg 0.0000 0.0000 0.4000 [6 per cell]

Output
**E_form**: -0.3118 eV/atom



6.
First-principles (GGA-PBE) data for Ba3Na2Li2Hg4 after structural relaxation, as listed in Alexandria via LeMat-Bulk.

abc: 5.0768 5.0768 17.1888
angles: 90.00 90.00 120.00
Space group P-3m1 (No. 164)
Inequivalent atoms, fractional coordinates:
1 Ba 0.0000 0.0000 0.0000 [1 per cell]
2 Ba 0.0000 0.0000 0.2596 [2 per cell]
3 Na 0.3333 0.6667 0.5587 [2 per cell]
4 Li 0.3333 0.6667 0.1318 [2 per cell]
5 Hg 0.3333 0.6667 0.3704 [2 per cell]
6 Hg 0.3333 0.6667 0.8707 [2 per cell]

Output
**E_form**: -0.2994 eV/atom



no.,total magnetic moment (Bohr magnetons per cell)
1,0.0
2,0.0
3,0.0
4,0.0
5,0.0
6,0.0